No. 1
Material: BaTl2Rh
Method: DFT, PBE
State: optimized geometry

As for the energy of formation from the pure elements: -0.12 eV/atom. The calculation puts the total energy at -3.62 eV/atom.

The structure belongs to space group Pm (No. 6); the cell edges are 4.995, 3.956 and 6.524 Å and the angles 90.00°, 112.41° and 90.00°. The distinct sites, in fractional coordinates, are Ba at (0.000, 0.000, 0.000), Tl at (0.296, 0.000, 0.592), Tl at (0.689, 0.500, 0.380) and Rh at (0.461, 0.500, 0.919).

---

No. 2
Material: SbPb3Se4
Method: DFT, PBE
State: optimized geometry

The excess energy over the best structure of this formula in the dataset comes out at 83.7 meV/atom. The calculation puts the total energy at -3.98 eV/atom.

The structure belongs to space group Pmmn (No. 59, origin choice 2); the cell edges are 6.243, 8.668 and 10.273 Å and the angles 90.00°, 90.00° and 90.00°. The distinct sites, in fractional coordinates, are Sb at (0.250, 0.250, 0.161), Pb at (0.250, 0.001, 0.656), Pb at (0.250, 0.750, 0.144), Se at (0.250, 0.015, 0.333), Se at (0.250, 0.250, 0.844) and Se at (0.250, 0.750, 0.841).